The following is a PBE calculation of a relaxed structure of RbBi4Pb, from Alexandria.

Results
The crystal system is cubic. Its space group is F-43m, No. 216. The calculation puts the formation energy at 0.00 eV per atom. As for the total magnetization: 0.00 Bohr magnetons per cell.

abc: 6.7294 6.7294 6.7294
angles: 60.00 60.00 60.00
Last column: nearest neighbours and their distance in Å.
Sites, in units of the cell vectors:
Pb1 0.0000 0.0000 0.0000  12 Bi 3.94, 4 Rb 4.12
Bi1 0.6267 0.6267 0.1200  6 Bi 3.32-3.41
Bi2 0.6267 0.1200 0.6267  6 Bi 3.32-3.41
Bi3 0.6267 0.6267 0.6267  6 Bi 3.32-3.41
Bi4 0.1200 0.6267 0.6267  6 Bi 3.32-3.41
Rb1 0.2500 0.2500 0.2500  12 Bi 3.95, 4 Pb 4.12

***

The following is a PBE calculation of a relaxed structure of AgRhF2, from Alexandria.

Results
The crystal system is cubic. The raw formation energy comes out at -0.37 eV/atom. Its space group is Fm-3m, No. 225. As for the total magnetization: 2.16 Bohr magnetons per cell.

abc: 4.2582 4.2582 4.2582
angles: 60.00 60.00 60.00
Last column: nearest neighbours and their distance in Å.
Sites, in units of the cell vectors:
Rh1 0.0000 0.0000 0.0000  8 F 2.61
Ag1 0.5000 0.5000 0.5000  8 F 2.61
F1 0.2500 0.2500 0.2500  4 Ag 2.61, 4 Rh 2.61
F2 0.7500 0.7500 0.7500  4 Rh 2.61, 4 Ag 2.61

***

The following is a PBE calculation of a relaxed structure of LaCu2NiGe, from Alexandria.

Results
The crystal system is tetragonal. Its space group is P4/mmm, No. 123. The calculation puts the formation energy at 1.25 eV per atom. As for the total magnetization: 0.00 Bohr magnetons per cell.

abc: 5.1699 4.7556 5.1699
angles: 90.00 90.00 90.00
Last column: nearest neighbours and their distance in Å.
Sites, in units of the cell vectors:
Ni1 0.0000 0.5000 0.0000  2 La 2.38
Ge1 0.5000 0.5000 0.5000  8 Cu 3.51, 4 Ni 3.66
Cu1 0.0000 0.0000 0.5000  2 La 2.58
Cu2 0.5000 0.0000 0.0000  2 La 2.58
La1 0.0000 0.0000 0.0000  2 Ni 2.38, 4 Cu 2.58

***

The following is a PBE calculation of a relaxed structure of KCu4P3, from Alexandria.

Results
The crystal system is tetragonal. Its space group is P4/mmm, No. 123. The calculation puts the formation energy at -0.14 eV per atom. As for the total magnetization: 0.00 Bohr magnetons per cell.

abc: 4.1030 4.1030 7.3875
angles: 90.00 90.00 90.00
Last column: nearest neighbours and their distance in Å.
Sites, in units of the cell vectors:
Cu1 0.5000 0.0000 0.1756  4 P 2.41-2.43, 1 Cu 2.59
Cu2 0.0000 0.5000 0.1756  4 P 2.41-2.43, 1 Cu 2.59
Cu3 0.5000 0.0000 0.8244  4 P 2.41-2.43, 1 Cu 2.59
Cu4 0.0000 0.5000 0.8244  4 P 2.41-2.43, 1 Cu 2.59
K1 0.0000 0.0000 0.5000  8 P 3.11, 8 Cu 3.15
P1 0.0000 0.0000 0.0000  8 Cu 2.43
P2 0.5000 0.5000 0.3467  1 P 2.27, 4 Cu 2.41
P3 0.5000 0.5000 0.6533  1 P 2.27, 4 Cu 2.41

***

The following is a PBE calculation of a relaxed structure of Dy5TlPt2, from Alexandria.

Results
The crystal system is tetragonal. Its space group is I4/mcm, No. 140. The calculation puts the formation energy at -0.80 eV per atom. As for the total magnetization: 0.04 Bohr magnetons per cell.

abc: 7.8784 7.8784 8.7151
angles: 116.87 116.87 90.00
Last column: nearest neighbours and their distance in Å.
Sites, in units of the cell vectors:
Dy1 0.5220 0.7042 0.7262  3 Pt 2.93-2.97
Dy2 0.7958 0.9780 0.2738  3 Pt 2.93-2.97
Dy3 0.0000 0.0000 0.0000  4 Pt 3.06, 2 Tl 3.35
Dy4 0.5000 0.5000 0.0000  4 Pt 3.06, 2 Tl 3.35
Dy5 0.2042 0.0220 0.7262  3 Pt 2.93-2.97
Dy6 0.7042 0.2042 0.7262  3 Pt 2.93-2.97
Dy7 0.0220 0.5220 0.7262  3 Pt 2.93-2.97
Dy8 0.2958 0.7958 0.2738  3 Pt 2.93-2.97
Dy9 0.9780 0.4780 0.2738  3 Pt 2.93-2.97
Dy10 0.4780 0.2958 0.2738  3 Pt 2.93-2.97
Tl1 0.7500 0.7500 0.5000  10 Dy 3.33-3.35
Tl2 0.2500 0.2500 0.5000  10 Dy 3.33-3.35
Pt1 0.1366 0.3634 0.0000  8 Dy 2.93-3.06, 1 Pt 3.04
Pt2 0.6366 0.1366 0.0000  8 Dy 2.93-3.06, 1 Pt 3.04
Pt3 0.3634 0.8634 0.0000  8 Dy 2.93-3.06, 1 Pt 3.04
Pt4 0.8634 0.6366 0.0000  8 Dy 2.93-3.06, 1 Pt 3.04

***

The following is a PBE calculation of a relaxed structure of CaZr3As, from Alexandria.

Results
The crystal system is cubic. Its space group is Pm-3m, No. 221. The calculation puts the formation energy at -0.06 eV per atom. As for the total magnetization: 0.00 Bohr magnetons per cell.

abc: 5.1466 5.1466 5.1466
angles: 90.00 90.00 90.00
Last column: nearest neighbours and their distance in Å.
Sites, in units of the cell vectors:
As1 0.0000 0.0000 0.0000  6 Zr 2.57
Ca1 0.5000 0.5000 0.5000  12 Zr 3.64
Zr1 0.0000 0.5000 0.0000  2 As 2.57
Zr2 0.0000 0.0000 0.5000  2 As 2.57
Zr3 0.5000 0.0000 0.0000  2 As 2.57

***

The following is a PBE calculation of a relaxed structure of Ag2HgGe2, from Alexandria.

Results
The crystal system is tetragonal. Its space group is P4/mbm, No. 127. The calculation puts the formation energy at 0.20 eV per atom. As for the total magnetization: 0.00 Bohr magnetons per cell.

abc: 8.3514 8.3514 2.9246
angles: 90.00 90.00 90.00
Last column: nearest neighbours and their distance in Å.
Sites, in units of the cell vectors:
Ge1 0.3796 0.8796 0.0000  6 Ag 2.82-2.91, 3 Ge 2.84-2.92
Ge2 0.8796 0.6204 0.0000  6 Ag 2.82-2.91, 3 Ge 2.84-2.92
Ge3 0.6204 0.1204 0.0000  6 Ag 2.82-2.91, 3 Ge 2.84-2.92
Ge4 0.1204 0.3796 0.0000  6 Ag 2.82-2.91, 3 Ge 2.84-2.92
Hg1 0.0000 0.0000 0.0000  2 Hg 2.92
Hg2 0.5000 0.5000 0.0000  2 Hg 2.92
Ag1 0.1758 0.6758 0.5000  6 Ge 2.82-2.91, 2 Ag 2.92
Ag2 0.6758 0.8242 0.5000  6 Ge 2.82-2.91, 2 Ag 2.92
Ag3 0.8242 0.3242 0.5000  6 Ge 2.82-2.91, 2 Ag 2.92
Ag4 0.3242 0.1758 0.5000  6 Ge 2.82-2.91, 2 Ag 2.92

***

The following is a PBE calculation of a relaxed structure of BeTc2Mo, from Alexandria.

Results
The crystal system is monoclinic. Its space group is P2/m, No. 10. The calculation puts the formation energy at 0.08 eV per atom. As for the total magnetization: 0.00 Bohr magnetons per cell.

abc: 4.2162 2.6490 5.0350
angles: 80.74 90.00 90.00
Last column: nearest neighbours and their distance in Å.
Sites, in units of the cell vectors:
Be1 0.5000 0.2500 0.2500  4 Tc 2.58, 2 Be 2.65, 2 Mo 2.65
Mo1 0.5000 0.7500 0.7500  4 Tc 2.62, 2 Mo 2.65, 2 Be 2.65
Tc1 0.0000 0.9780 0.0146  3 Tc 2.48-2.65, 2 Be 2.58, 2 Mo 2.62
Tc2 0.0000 0.5220 0.4854  3 Tc 2.48-2.65, 2 Be 2.58, 2 Mo 2.62